No. 1
The following is a PBE-GGA calculation of a geometry-optimized YHgN2O structure, from Alexandria via LeMat-Bulk.

Output
The calculation puts the total magnetic moment at 3.62 Bohr magnetons per cell. The density of states at the Fermi level comes out at 3.47 states/eV/f.u. For the energy relative to the elements, uncorrected, the calculation gives 486 meV/atom.

```
data_YHgN2O
_cell_length_a 4.695
_cell_length_b 4.695
_cell_length_c 4.335
_cell_angle_alpha 90.00
_cell_angle_beta 90.00
_cell_angle_gamma 90.00
_space_group_name_H-M_alt 'P 4/m m m'
_space_group_IT_number 123
_space_group_name_Hall '-P 4 2'
loop_
_atom_site_label
_atom_site_type_symbol
_atom_site_fract_x
_atom_site_fract_y
_atom_site_fract_z
Y1 Y 0.000 0.000 0.000
Hg1 Hg 0.500 0.500 0.500
N1 N 0.000 0.500 0.000
O1 O 0.000 0.000 0.500
```

=====

No. 2
The following is a PBE-GGA calculation of a geometry-optimized YHgNO2 structure, from Alexandria via LeMat-Bulk.

Output
The calculation puts the total magnetic moment at 2.47 Bohr magnetons per cell. The density of states at the Fermi level comes out at 3.59 states/eV/f.u. For the energy relative to the elements, uncorrected, the calculation gives -360 meV/atom.

```
data_YHgNO2
_cell_length_a 4.405
_cell_length_b 4.405
_cell_length_c 4.698
_cell_angle_alpha 90.00
_cell_angle_beta 90.00
_cell_angle_gamma 90.00
_space_group_name_H-M_alt 'P 4/m m m'
_space_group_IT_number 123
_space_group_name_Hall '-P 4 2'
loop_
_atom_site_label
_atom_site_type_symbol
_atom_site_fract_x
_atom_site_fract_y
_atom_site_fract_z
Y1 Y 0.000 0.000 0.000
Hg1 Hg 0.500 0.500 0.500
N1 N 0.000 0.000 0.500
O1 O 0.000 0.500 0.000
```